# CaSiAs4

A geometry-optimized CaSiAs4 structure (GGA-PBE, Alexandria via LeMat-Bulk).

abc: 7.965 7.965 7.965
angles: 90.00 90.00 90.00
Space group F-43m (No. 216)
One atom of each set of equivalent atoms:
Ca1 0.000 0.000 0.000 (multiplicity 4)
Si1 0.250 0.250 0.750 (multiplicity 4)
As1 0.124 0.124 0.376 (multiplicity 16)

total energy: -4.22 eV per atom
size of the total moment: 0.0 Bohr magnetons per cell
DOS(E_F): 4.7 states/eV/f.u.


# In2NiSb2

A geometry-optimized In2NiSb2 structure (GGA-PBE, Alexandria via LeMat-Bulk).

abc: 6.618 6.618 5.899
angles: 90.00 90.00 90.00
Space group P4/mbm (No. 127)
One atom of each set of equivalent atoms:
In1 0.181 0.319 0.000 (multiplicity 4)
Ni1 0.000 0.000 0.500 (multiplicity 2)
Sb1 0.155 0.655 0.500 (multiplicity 4)

total energy: -3.84 eV per atom
size of the total moment: 0.0 Bohr magnetons per cell
DOS(E_F): 2.5 states/eV/f.u.


# Fe2SiW

A geometry-optimized Fe2SiW structure (GGA-PBE, Alexandria via LeMat-Bulk).

abc: 2.911 2.911 5.883
angles: 90.00 90.00 90.00
Space group P4mm (No. 99)
One atom of each set of equivalent atoms:
Fe1 0.000 0.000 0.000 (multiplicity 1)
Fe2 0.500 0.500 0.236 (multiplicity 1)
Si1 0.000 0.000 0.442 (multiplicity 1)
W1 0.500 0.500 0.730 (multiplicity 1)

total energy: -8.89 eV per atom
size of the total moment: 3.0 Bohr magnetons per cell
DOS(E_F): 3.0 states/eV/f.u.


# LaPmGePb

A geometry-optimized LaPmGePb structure (GGA-PBE, Alexandria via LeMat-Bulk).

abc: 7.715 7.715 7.715
angles: 90.00 90.00 90.00
Space group F-43m (No. 216)
One atom of each set of equivalent atoms:
La1 0.000 0.000 0.000 (multiplicity 4)
Pm1 0.000 0.000 0.500 (multiplicity 4)
Ge1 0.250 0.250 0.750 (multiplicity 4)
Pb1 0.250 0.250 0.250 (multiplicity 4)

calculated formation energy: -486.7 meV/atom
total energy: -4.99 eV per atom
size of the total moment: 0.0 Bohr magnetons per cell
DOS(E_F): 5.6 states/eV/f.u.